Li2Mn3SbO8 | GGA+U | optimized geometry

Properties
- Space group: P31c
- Volume: 154.0 Å³/f.u.
- Excess energy over the best structure of this formula in the dataset: 0 meV/atom
- Magnetization: 12.0 μB/f.u.

Geometry as extended XYZ:
```
28
Lattice="-2.998 -3.652 -3.737 2.521 -2.218 5.001 -8.279 1.738 4.944" Properties=species:S:1:pos:R:3 pbc="T T T"
O -8.382 -0.354 2.592
Mn -7.964 -2.113 1.257
O -1.796 -3.148 4.894
Li -6.825 -1.121 6.571
Mn -6.469 -0.395 3.156
Mn -1.448 -1.035 2.079
O -3.054 -2.529 2.570
O -1.797 -0.588 3.992
Mn -0.175 -2.034 4.564
Mn -6.757 -3.296 3.693
O -1.644 -4.444 0.574
O -9.590 -2.268 0.200
Li -4.503 -5.026 3.668
O -7.394 -1.712 4.725
Li -4.525 -2.468 1.186
Li -5.644 -0.505 9.877
Sb -3.334 -1.854 4.486
Mn -1.630 -3.909 2.786
O -2.452 0.515 1.464
O -3.285 -1.291 6.428
O -6.273 -2.101 2.230
Sb -9.313 -1.462 4.046
O -2.814 -3.113 -1.853
O -4.621 -0.417 3.882
O -0.294 -2.492 2.671
O -1.274 -1.491 0.155
O -4.726 -3.301 4.720
O -8.809 -3.026 2.817
```